This record from the Open Quantum Materials Database describes a relaxed structure of NbFeBMo. The functional is PBE.

```
data_NbFeBMo
_chemical_formula_sum 'Nb4 Fe4 B4 Mo4'
_cell_length_a 5.9206
_cell_length_b 5.9206
_cell_length_c 5.9206
_cell_angle_alpha 90.00
_cell_angle_beta 90.00
_cell_angle_gamma 90.00
_symmetry_space_group_name_H-M 'F -4 3 m'
_symmetry_Int_Tables_number 216
_symmetry_space_group_name_Hall 'F -4 2 3'
loop_
_atom_site_label
_atom_site_type_symbol
_atom_site_fract_x
_atom_site_fract_y
_atom_site_fract_z
_atom_site_occupancy
Nb1 Nb 0.0000 0.0000 0.0000 1
Fe1 Fe 0.2500 0.2500 0.7500 1
B1 B 0.0000 0.0000 0.5000 1
Mo1 Mo 0.2500 0.2500 0.2500 1
```

Summary:
The energy above the most stable polymorph in this dataset comes out at 0 meV per atom. For the final energy, the calculation gives -8.516 eV per atom. Its crystal system is cubic.